1.
A plane-wave DFT calculation with PBE was carried out for a geometry-optimized PaCdO3 structure.

Results
As for the raw total energy: -141.7 eV per cell. Its calculated volume is 15.34 A^3/atom. As for the space-group type: Pnma (62).

a = 6.132 Å, b = 8.505 Å, c = 5.884 Å
α = 90.00°, β = 90.00°, γ = 90.00°
Fractional positions:
Pa (0.000, 0.000, 0.000)
Pa (0.000, 0.500, 0.000)
Pa (0.500, 0.000, 0.500)
Pa (0.500, 0.500, 0.500)
Cd (0.035, 0.250, 0.487)
Cd (0.465, 0.750, 0.987)
Cd (0.535, 0.250, 0.013)
Cd (0.965, 0.750, 0.513)
O (0.005, 0.250, 0.891)
O (0.186, 0.535, 0.676)
O (0.186, 0.965, 0.676)
O (0.314, 0.035, 0.176)
O (0.314, 0.465, 0.176)
O (0.495, 0.750, 0.391)
O (0.505, 0.250, 0.609)
O (0.686, 0.535, 0.824)
O (0.686, 0.965, 0.824)
O (0.814, 0.035, 0.324)
O (0.814, 0.465, 0.324)
O (0.995, 0.750, 0.109)



2.
A plane-wave DFT calculation with PBE was carried out for a geometry-optimized Pa2CdO4 structure.

Results
As for the raw total energy: -105.6 eV per cell. Its calculated volume is 20.16 A^3/atom. As for the space-group type: Fd-3m (227).

a = 7.363 Å, b = 7.363 Å, c = 7.363 Å
α = 60.00°, β = 60.00°, γ = 60.00°
Fractional positions:
Pa (0.000, 0.000, 0.000)
Pa (0.000, 0.000, 0.500)
Pa (0.000, 0.500, 0.000)
Pa (0.500, 0.000, 0.000)
Cd (0.375, 0.375, 0.375)
Cd (0.625, 0.625, 0.625)
O (0.159, 0.780, 0.780)
O (0.220, 0.220, 0.220)
O (0.220, 0.220, 0.841)
O (0.220, 0.841, 0.220)
O (0.780, 0.159, 0.780)
O (0.780, 0.780, 0.159)
O (0.780, 0.780, 0.780)
O (0.841, 0.220, 0.220)



3.
A plane-wave DFT calculation with PBE was carried out for a geometry-optimized CdPbO3 structure.

Results
As for the raw total energy: -95.0 eV per cell. Its calculated volume is 14.47 A^3/atom. As for the space-group type: C2/c (15).

a = 7.190 Å, b = 7.190 Å, c = 5.688 Å
α = 91.36°, β = 91.36°, γ = 80.05°
Fractional positions:
Cd (0.084, 0.916, 0.750)
Cd (0.311, 0.689, 0.250)
Cd (0.689, 0.311, 0.750)
Cd (0.916, 0.084, 0.250)
Pb (0.157, 0.385, 0.784)
Pb (0.385, 0.157, 0.284)
Pb (0.615, 0.843, 0.716)
Pb (0.843, 0.615, 0.216)
O (0.004, 0.214, 0.590)
O (0.091, 0.649, 0.952)
O (0.214, 0.004, 0.090)
O (0.303, 0.423, 0.460)
O (0.351, 0.909, 0.548)
O (0.423, 0.303, 0.960)
O (0.577, 0.697, 0.040)
O (0.649, 0.091, 0.452)
O (0.697, 0.577, 0.540)
O (0.786, 0.996, 0.910)
O (0.909, 0.351, 0.048)
O (0.996, 0.786, 0.410)